# RbTaAg2 | Alexandria | PBE | optimized geometry
# Relative energy among the computed polymorphs ... 0.00 kJ/mol of atoms
# Calculated formation energy ... 480 kJ/mol of formula units
# Size of the total moment ... 4.2 μB per cell
data_RbTaAg2
_symmetry_space_group_name_H-M 'P 1'
_symmetry_Int_Tables_number 1
_cell_length_a 8.154
_cell_length_b 8.154
_cell_length_c 6.791
_cell_angle_alpha 53.11
_cell_angle_beta 53.11
_cell_angle_gamma 90.00
loop_
_symmetry_equiv_pos_as_xyz
'x,y,z'
loop_
_atom_site_label
_atom_site_type_symbol
_atom_site_fract_x
_atom_site_fract_y
_atom_site_fract_z
Ag1 Ag 0.375 0.311 0.750
Ag2 Ag 0.689 0.125 0.250
Ag3 Ag 0.875 0.939 0.750
Ag4 Ag 0.061 0.625 0.250
Ta1 Ta 0.750 0.250 0.500
Ta2 Ta 0.000 0.000 0.000
Rb1 Rb 0.250 0.750 0.500
Rb2 Rb 0.500 0.500 0.000